# 1
Below is a relaxed CsNaIn2Sn crystal, with properties calculated at the GGA-PBE level.

The density comes out at 3.981 Mg/m³. Its space group is P4/mmm, No. 123. The formation energy comes out at 49 meV per atom.

abc: 5.9361 5.9694 5.9361
angles: 90.00 90.00 90.00
Closest atoms and distances in Å follow each position.
Fractional positions:
In 0.5000 0.0000 0.0000  2 Sn 2.97
In 0.0000 0.0000 0.5000  2 Sn 2.97
Sn 0.0000 0.0000 0.0000  4 In 2.97, 2 Na 2.98
Na 0.0000 0.5000 0.0000  2 Sn 2.98
Cs 0.5000 0.5000 0.5000  4 Na 4.20, 8 In 4.21


# 2
Below is a relaxed Cs2NaIn4Sn3 crystal, with properties calculated at the GGA-PBE level.

The density comes out at 5.262 Mg/m³. Its space group is P-4m2, No. 115. The formation energy comes out at -136 meV per atom.

abc: 5.2815 5.2815 12.4933
angles: 90.00 90.00 90.00
Closest atoms and distances in Å follow each position.
Fractional positions:
In 0.0000 0.5000 0.3651  3 Sn 2.99-3.13, 2 Na 3.13
In 0.5000 0.5000 0.0000  4 Sn 3.07
In 0.0000 0.0000 0.0000  4 Sn 3.07
In 0.5000 0.0000 0.6349  3 Sn 2.99-3.13, 2 Na 3.13
Sn 0.5000 0.0000 0.8744  5 In 2.99-3.07
Sn 0.0000 0.0000 0.5000  4 In 3.13
Sn 0.0000 0.5000 0.1256  5 In 2.99-3.07
Na 0.5000 0.5000 0.5000  4 In 3.13
Cs 0.5000 0.0000 0.2405  8 In 4.00-4.05, 6 Sn 4.00-4.18, 2 Na 4.18
Cs 0.0000 0.5000 0.7595  8 In 4.00-4.05, 6 Sn 4.00-4.18, 2 Na 4.18


# 3
Below is a relaxed Cs2Na4InSn2 crystal, with properties calculated at the GGA-PBE level.

The density comes out at 3.324 Mg/m³. Its space group is C2/m, No. 12. The formation energy comes out at -96 meV per atom.

abc: 5.6821 8.9610 8.9610
angles: 56.21 71.83 71.83
Closest atoms and distances in Å follow each position.
Fractional positions:
Na 0.8555 0.3378 0.9466  1 Na 3.30, 3 Sn 3.36-3.58
Na 0.1445 0.6622 0.0534  1 Na 3.30, 3 Sn 3.36-3.58
Na 0.8555 0.9466 0.3378  1 Na 3.30, 3 Sn 3.36-3.58
Na 0.1445 0.0534 0.6622  1 Na 3.30, 3 Sn 3.36-3.58
Cs 0.3685 0.6297 0.6297  6 Na 3.76-3.84, 1 Cs 3.83, 2 Sn 3.90-3.91
Cs 0.6315 0.3703 0.3703  6 Na 3.76-3.84, 1 Cs 3.83, 2 Sn 3.90-3.91
Sn 0.6912 0.8107 0.8107  1 In 2.80
Sn 0.3088 0.1893 0.1893  1 In 2.80
In 0.5000 0.0000 0.0000  2 Sn 2.80


# 4
Below is a relaxed CsNaSr2In crystal, with properties calculated at the GGA-PBE level.

The density comes out at 2.369 Mg/m³. Its space group is P4/mmm, No. 123. The formation energy comes out at 86 meV per atom.

abc: 6.5752 7.2290 6.5752
angles: 90.00 90.00 90.00
Closest atoms and distances in Å follow each position.
Fractional positions:
In 0.0000 0.0000 0.0000  4 Sr 3.29, 2 Cs 3.61
Sr 0.5000 0.0000 0.0000  2 In 3.29
Sr 0.0000 0.0000 0.5000  2 In 3.29
Cs 0.0000 0.5000 0.0000  2 In 3.61
Na 0.5000 0.5000 0.5000  4 Cs 4.65, 8 Sr 4.89


# 5
Below is a relaxed CsNa2SrIn crystal, with properties calculated at the GGA-PBE level.

The density comes out at 2.413 Mg/m³. Its space group is P4/mmm, No. 123. The formation energy comes out at 24 meV per atom.

abc: 6.3832 6.3832 6.4415
angles: 90.00 90.00 90.00
Closest atoms and distances in Å follow each position.
Fractional positions:
Cs 0.5000 0.5000 0.5000  4 Sr 4.51, 8 Na 4.53
In 0.0000 0.0000 0.0000  4 Na 3.19, 2 Sr 3.22
Na 0.5000 0.0000 0.0000  2 In 3.19
Na 0.0000 0.5000 0.0000  2 In 3.19
Sr 0.0000 0.0000 0.5000  2 In 3.22


# 6
Below is a relaxed CsNaIn2Te4 crystal, with properties calculated at the GGA-PBE level.

The density comes out at 4.225 Mg/m³. Its space group is I222, No. 23. The uncorrected formation energy comes out at -320.1 kJ/mol of formula units.

abc: 7.5348 7.8281 7.8281
angles: 71.00 61.23 61.23
Closest atoms and distances in Å follow each position.
Fractional positions:
In 0.8096 0.6904 0.6904  2 Te 2.66
In 0.1904 0.3096 0.3096  2 Te 2.66
Te 0.5341 0.5073 0.8825  1 In 2.66
Te 0.4659 0.1175 0.4927  1 In 2.66
Te 0.0761 0.8825 0.5073  1 In 2.66
Te 0.9239 0.4927 0.1175  1 In 2.66
Cs 0.0000 0.0000 0.0000  8 Te 3.97-4.03
Na 0.5000 0.5000 0.5000  4 Te 3.15


# 7
Below is a relaxed CsNa2TlIn crystal, with properties calculated at the GGA-PBE level.

The density comes out at 3.675 Mg/m³. The calculation puts the energy above the lowest structure with this stoichiometry at 0 kJ/mol of formula units. Its space group is P4/mmm, No. 123. The formation energy comes out at 3 meV per atom.

abc: 6.1374 6.1374 5.9750
angles: 90.00 90.00 90.00
Closest atoms and distances in Å follow each position.
Fractional positions:
Cs 0.5000 0.5000 0.5000  8 Na 4.28, 4 Tl 4.34
Na 0.0000 0.5000 0.0000  2 In 3.07
Na 0.5000 0.0000 0.0000  2 In 3.07
In 0.0000 0.0000 0.0000  2 Tl 2.99, 4 Na 3.07
Tl 0.0000 0.0000 0.5000  2 In 2.99


# 8
Below is a relaxed CsNa2TlIn crystal, with properties calculated at the GGA-PBE level.

The density comes out at 4.091 Mg/m³. The calculation puts the energy above the lowest structure with this stoichiometry at 16 kJ/mol of formula units. Its space group is P4/mmm, No. 123. The formation energy comes out at 36 meV per atom.

abc: 5.9043 5.9043 5.7999
angles: 90.00 90.00 90.00
Closest atoms and distances in Å follow each position.
Fractional positions:
Na 0.0000 0.5000 0.0000  2 Tl 2.95
Na 0.5000 0.0000 0.0000  2 Tl 2.95
Tl 0.0000 0.0000 0.0000  2 In 2.90, 4 Na 2.95
In 0.0000 0.0000 0.5000  2 Tl 2.90
Cs 0.5000 0.5000 0.5000  8 Na 4.14, 4 In 4.17


# 9
Below is a relaxed CsNa2ZnIn crystal, with properties calculated at the GGA-PBE level.

The density comes out at 3.113 Mg/m³. The calculation puts the energy above the lowest structure with this stoichiometry at 0 kJ/mol of formula units. Its space group is P4/mmm, No. 123. The formation energy comes out at 39 meV per atom.

abc: 5.9425 5.9425 5.4242
angles: 90.00 90.00 90.00
Closest atoms and distances in Å follow each position.
Fractional positions:
Zn 0.0000 0.0000 0.0000  2 In 2.71, 4 Na 2.97
Cs 0.5000 0.5000 0.5000  8 Na 4.02, 4 In 4.20
In 0.0000 0.0000 0.5000  2 Zn 2.71
Na 0.0000 0.5000 0.0000  2 Zn 2.97
Na 0.5000 0.0000 0.0000  2 Zn 2.97


# 10
Below is a relaxed CsNa2ZnIn crystal, with properties calculated at the GGA-PBE level.

The density comes out at 2.909 Mg/m³. The calculation puts the energy above the lowest structure with this stoichiometry at 4 kJ/mol of formula units. Its space group is P4/mmm, No. 123. The formation energy comes out at 47 meV per atom.

abc: 6.0887 6.0887 5.5292
angles: 90.00 90.00 90.00
Closest atoms and distances in Å follow each position.
Fractional positions:
Cs 0.5000 0.5000 0.5000  8 Na 4.11, 4 Zn 4.31
Zn 0.0000 0.0000 0.5000  2 In 2.76
Na 0.5000 0.0000 0.0000  2 In 3.04
Na 0.0000 0.5000 0.0000  2 In 3.04
In 0.0000 0.0000 0.0000  2 Zn 2.76, 4 Na 3.04


# 11
Below is a relaxed Cs3NbIn crystal, with properties calculated at the GGA-PBE level.

The density comes out at 3.322 Mg/m³. Its space group is Pm-3m, No. 221. The formation energy comes out at 1208 meV per atom.

abc: 6.7177 6.7177 6.7177
angles: 90.00 90.00 90.00
Closest atoms and distances in Å follow each position.
Fractional positions:
Nb 0.0000 0.0000 0.0000  6 Cs 3.36
Cs 0.0000 0.5000 0.0000  2 Nb 3.36
Cs 0.5000 0.0000 0.0000  2 Nb 3.36
Cs 0.0000 0.0000 0.5000  2 Nb 3.36
In 0.5000 0.5000 0.5000  12 Cs 4.75


# 12
Below is a relaxed CsNb3In crystal, with properties calculated at the GGA-PBE level.

The density comes out at 6.860 Mg/m³. The calculation puts the energy above the lowest structure with this stoichiometry at 164 kJ/mol of formula units. Its space group is Pm-3m, No. 221. The formation energy comes out at 2428 meV per atom.

abc: 5.0322 5.0322 5.0322
angles: 90.00 90.00 90.00
Closest atoms and distances in Å follow each position.
Fractional positions:
Cs 0.0000 0.0000 0.0000  6 Nb 2.52
In 0.5000 0.5000 0.5000  12 Nb 3.56
Nb 0.0000 0.5000 0.0000  2 Cs 2.52
Nb 0.0000 0.0000 0.5000  2 Cs 2.52
Nb 0.5000 0.0000 0.0000  2 Cs 2.52